(1)
The following is a PBE-GGA calculation of a geometry-optimized NdSi4Ni12 structure, from Alexandria via LeMat-Bulk.

a b c (Å): 6.753 6.753 6.753
angles (deg): 109.47 109.47 109.47
Fractional coordinates of all 17 atoms:
Ni: 0.839 0.648 0.487
Ni: 0.648 0.487 0.839
Ni: 0.839 0.352 0.190
Ni: 0.352 0.513 0.161
Ni: 0.161 0.352 0.513
Ni: 0.810 0.161 0.648
Ni: 0.487 0.839 0.648
Ni: 0.648 0.810 0.161
Ni: 0.190 0.839 0.352
Ni: 0.161 0.648 0.810
Ni: 0.352 0.190 0.839
Ni: 0.513 0.161 0.352
Si: 0.000 0.500 0.000
Si: 0.000 0.000 0.500
Si: 0.500 0.000 0.000
Si: 0.500 0.500 0.500
Nd: 0.000 0.000 0.000

## Properties
The total DFT energy (no corrections) is -96.314 eV for the cell shown. As for the space group: Im-3 (204).



(2)
The following is a PBE-GGA calculation of a geometry-optimized NdSi2Ni3 structure, from Alexandria via LeMat-Bulk.

a b c (Å): 3.839 7.598 7.061
angles (deg): 113.62 90.00 104.63
Fractional coordinates of all 12 atoms:
Si: 0.480 0.959 0.815
Si: 0.183 0.365 0.654
Si: 0.817 0.635 0.346
Si: 0.520 0.041 0.185
Ni: 0.590 0.179 0.660
Ni: 0.964 0.927 0.634
Ni: 0.036 0.073 0.366
Ni: 0.410 0.821 0.340
Ni: 0.317 0.634 0.560
Ni: 0.683 0.366 0.440
Nd: 0.155 0.310 0.070
Nd: 0.845 0.690 0.930

## Properties
The total DFT energy (no corrections) is -74.060 eV for the cell shown. As for the space group: C2/m (12).



(3)
The following is a PBE-GGA calculation of a geometry-optimized Nd2Si3Ni5 structure, from Alexandria via LeMat-Bulk.

a b c (Å): 5.676 8.043 8.043
angles (deg): 71.60 69.34 69.34
Fractional coordinates of all 20 atoms:
Nd: 0.371 0.885 0.373
Nd: 0.629 0.115 0.627
Nd: 0.129 0.627 0.115
Nd: 0.871 0.373 0.885
Si: 0.384 0.483 0.749
Si: 0.750 0.000 0.000
Si: 0.884 0.749 0.483
Si: 0.250 0.000 0.000
Si: 0.616 0.517 0.251
Si: 0.116 0.251 0.517
Ni: 0.377 0.241 0.006
Ni: 0.980 0.270 0.270
Ni: 0.480 0.270 0.270
Ni: 0.020 0.730 0.730
Ni: 0.750 0.500 0.500
Ni: 0.877 0.006 0.241
Ni: 0.123 0.994 0.759
Ni: 0.623 0.759 0.994
Ni: 0.250 0.500 0.500
Ni: 0.520 0.730 0.730

## Properties
The energy relative to the lowest polymorph listed for this composition comes out at 0.000 eV per atom. The total DFT energy (no corrections) is -122.481 eV for the cell shown. As for the space group: Ibam (72).